# 1
Below is PrY2Al6 after structural relaxation, with properties calculated at the PBE level.

Results
- crystal system = orthorhombic
- energy above the lowest structure with this stoichiometry (meV per atom) = 210
- space group = Immm
- total magnetization (μB/cell) = 0.00
- E_form (meV/atom) = -273
- theoretical density (kg/m³) = 3686
- total DFT energy (no corrections) (eV per atom) = -4.74

a b c (Å): 7.9685 7.9685 7.9685
angles (deg): 147.78 125.74 64.52
With the nearest neighbours (Å) after each atom.
Sites, in units of the cell vectors:
Pr 0.0000 0.0000 0.0000  4 Al 3.20
Y 0.3752 0.8752 0.5000  10 Al 2.93-3.24
Y 0.6248 0.1248 0.5000  10 Al 2.93-3.24
Al 0.0097 0.3148 0.6948  4 Al 2.65-2.93, 1 Y 2.93
Al 0.3182 0.5000 0.8182  3 Al 2.64-2.65
Al 0.3800 0.6852 0.6948  4 Al 2.65-2.93, 1 Y 2.93
Al 0.6200 0.3148 0.3052  4 Al 2.65-2.93, 1 Y 2.93
Al 0.6818 0.5000 0.1818  3 Al 2.64-2.65
Al 0.9903 0.6852 0.3052  4 Al 2.65-2.93, 1 Y 2.93

# 2
Below is Er5Pt2Rh after structural relaxation, with properties calculated at the PBE level.

Results
- crystal system = orthorhombic
- space group = Pbam
- total magnetization (μB/cell) = 0.00
- E_form (meV/atom) = -952
- theoretical density (kg/m³) = 11517
- total DFT energy (no corrections) (eV per atom) = -6.23

a b c (Å): 7.6106 11.8820 4.2393
angles (deg): 90.00 90.00 90.00
With the nearest neighbours (Å) after each atom.
Sites, in units of the cell vectors:
Er 0.0000 0.0000 0.0000  4 Pt 2.97
Er 0.1623 0.2964 0.0000  1 Rh 2.72, 2 Pt 3.00
Er 0.1760 0.5922 0.5000  2 Rh 2.74, 2 Pt 2.94-2.97
Er 0.3240 0.0922 0.5000  2 Rh 2.74, 2 Pt 2.94-2.97
Er 0.3377 0.7964 0.0000  1 Rh 2.72, 2 Pt 3.00
Er 0.5000 0.5000 0.0000  4 Pt 2.97
Er 0.6623 0.2036 0.0000  1 Rh 2.72, 2 Pt 3.00
Er 0.6760 0.9078 0.5000  2 Rh 2.74, 2 Pt 2.94-2.97
Er 0.8240 0.4078 0.5000  2 Rh 2.74, 2 Pt 2.94-2.97
Er 0.8377 0.7036 0.0000  1 Rh 2.72, 2 Pt 3.00
Pt 0.0406 0.8264 0.5000  8 Er 2.94-3.12
Pt 0.4594 0.3264 0.5000  8 Er 2.94-3.12
Pt 0.5406 0.6736 0.5000  8 Er 2.94-3.12
Pt 0.9594 0.1736 0.5000  8 Er 2.94-3.12
Rh 0.0000 0.5000 0.0000  6 Er 2.72-2.74
Rh 0.5000 0.0000 0.0000  6 Er 2.72-2.74